Entry from Alexandria: crystalline RbTmSn2Br8 at its relaxed geometry (PBE).

Calculated values
The value obtained for the formation energy without anion corrections is -1270.8 meV per atom. The density of states at the Fermi level comes out at 0.00 states/eV/f.u.

```
data_RbTmSn2Br8
_chemical_formula_sum 'Rb1 Tm1 Sn2 Br8'
_space_group_name_H-M_alt 'P -1'
_space_group_IT_number 2
_space_group_name_Hall '-P 1'
_cell_length_a 6.8068
_cell_length_b 7.3020
_cell_length_c 9.4224
_cell_angle_alpha 85.48
_cell_angle_beta 87.82
_cell_angle_gamma 87.32
loop_
_atom_site_label
_atom_site_type_symbol
_atom_site_fract_x
_atom_site_fract_y
_atom_site_fract_z
_atom_site_occupancy
Rb1 Rb 0.0000 0.0000 0.0000 1
Tm1 Tm 0.0000 0.0000 0.5000 1
Sn1 Sn 0.4846 0.4796 0.2521 1
Br1 Br 0.2262 0.3154 0.4718 1
Br2 Br 0.2343 0.8372 0.2953 1
Br3 Br 0.2525 0.8584 0.7117 1
Br4 Br 0.2711 0.3766 0.0351 1
```

Entry from Alexandria: crystalline Rb2VSnBr6 at its relaxed geometry (PBE).

Calculated values
The calculation puts the relative energy among the computed polymorphs at 0.36 kcal/mol of atoms. The value obtained for the formation energy without anion corrections is -1146.0 meV per atom. The density of states at the Fermi level comes out at 0.00 states/eV/f.u.

```
data_Rb2VSnBr6
_chemical_formula_sum 'Rb8 V4 Sn4 Br24'
_space_group_name_H-M_alt 'F m -3 m'
_space_group_IT_number 225
_space_group_name_Hall '-F 4 2 3'
_cell_length_a 11.1606
_cell_length_b 11.1606
_cell_length_c 11.1606
_cell_angle_alpha 90.00
_cell_angle_beta 90.00
_cell_angle_gamma 90.00
loop_
_atom_site_label
_atom_site_type_symbol
_atom_site_fract_x
_atom_site_fract_y
_atom_site_fract_z
_atom_site_occupancy
Rb1 Rb 0.2500 0.2500 0.2500 1
V1 V 0.0000 0.0000 0.0000 1
Sn1 Sn 0.0000 0.0000 0.5000 1
Br1 Br 0.0000 0.0000 0.2370 1
```

Entry from Alexandria: crystalline Rb2VSnBr6 at its relaxed geometry (PBE).

Calculated values
The calculation puts the relative energy among the computed polymorphs at 0.00 kcal/mol of atoms. The value obtained for the formation energy without anion corrections is -1161.4 meV per atom.

```
data_Rb2VSnBr6
_chemical_formula_sum 'Rb4 V2 Sn2 Br12'
_space_group_name_H-M_alt 'P 1 21/c 1'
_space_group_IT_number 14
_space_group_name_Hall '-P 2ybc'
_cell_length_a 7.7294
_cell_length_b 7.9015
_cell_length_c 13.4945
_cell_angle_alpha 90.00
_cell_angle_beta 124.77
_cell_angle_gamma 90.00
loop_
_atom_site_label
_atom_site_type_symbol
_atom_site_fract_x
_atom_site_fract_y
_atom_site_fract_z
_atom_site_occupancy
Rb1 Rb 0.2320 0.0582 0.2483 1
V1 V 0.0000 0.0000 0.5000 1
Sn1 Sn 0.5000 0.0000 0.0000 1
Br1 Br 0.1542 0.2209 0.9652 1
Br2 Br 0.2448 0.6912 0.9646 1
Br3 Br 0.3049 0.0056 0.7352 1
```

Entry from Alexandria: crystalline Rb2SnWBr6 at its relaxed geometry (PBE).

Calculated values
The value obtained for the formation energy without anion corrections is -779.7 meV per atom. The density of states at the Fermi level comes out at 2.37 states/eV/f.u.

```
data_Rb2SnWBr6
_chemical_formula_sum 'Rb4 Sn2 W2 Br12'
_space_group_name_H-M_alt 'I 4/m m m'
_space_group_IT_number 139
_space_group_name_Hall '-I 4 2'
_cell_length_a 8.0013
_cell_length_b 8.0013
_cell_length_c 11.3549
_cell_angle_alpha 90.00
_cell_angle_beta 90.00
_cell_angle_gamma 90.00
loop_
_atom_site_label
_atom_site_type_symbol
_atom_site_fract_x
_atom_site_fract_y
_atom_site_fract_z
_atom_site_occupancy
Rb1 Rb 0.0000 0.5000 0.2500 1
Sn1 Sn 0.0000 0.0000 0.0000 1
W1 W 0.0000 0.0000 0.5000 1
Br1 Br 0.0000 0.0000 0.2661 1
Br2 Br 0.2339 0.2339 0.5000 1
```

| no. | total moment (μB per formula unit) |
| --- | --- |
| 1 | 0.0 |
| 2 | 3.0 |
| 3 | 3.0 |
| 4 | 4.0 |